1.
! Nd2SmHgO PBE-GGA optimized geometry; values from VASP
! Space-group type: P4/mmm, No. 123
! Density of states at the Fermi level in states/eV/f.u.: 2.56
! Spin magnetization in μB per cell: 0.00
! Final energy in eV per atom: -5.25
! Raw formation energy in eV/atom: -1.343
&SYSTEM
  ibrav = 0, nat = 5, ntyp = 4
/
ATOMIC_SPECIES
Sm 150.36 Sm.upf
Nd 144.24 Nd.upf
Hg 200.59 Hg.upf
O 16.00 O.upf
CELL_PARAMETERS angstrom
4.891 0.000 0.000
0.000 4.966 0.000
0.000 0.000 4.966
ATOMIC_POSITIONS crystal
Sm 0.500 0.000 0.000
Nd 0.000 0.500 0.000
Hg 0.500 0.500 0.500
Nd 0.000 0.000 0.500
O 0.000 0.000 0.000

***

2.
! Tb4NdMg PBE-GGA optimized geometry; values from VASP
! Space-group type: P4/mmm, No. 123
! Density of states at the Fermi level in states/eV/f.u.: 8.06
! Spin magnetization in μB per cell: 0.00
! Final energy in eV per atom: -4.16
! Energy above the most stable polymorph in this dataset in meV per atom: 0.0
&SYSTEM
  ibrav = 0, nat = 6, ntyp = 3
/
ATOMIC_SPECIES
Tb 158.93 Tb.upf
Mg 24.30 Mg.upf
Nd 144.24 Nd.upf
CELL_PARAMETERS angstrom
-1.341 3.349 -0.123
-2.491 -1.085 -2.376
-8.900 -3.170 10.776
ATOMIC_POSITIONS crystal
Tb 0.000 0.000 0.650
Tb 0.500 0.500 0.179
Tb 0.000 0.000 0.350
Mg 0.500 0.500 0.500
Nd 0.000 0.000 0.000
Tb 0.500 0.500 0.821

***

3.
! Li2InSb PBE-GGA optimized geometry; values from VASP
! Space-group type: P4/mmm, No. 123
! Density of states at the Fermi level in states/eV/f.u.: 1.61
! Spin magnetization in μB per cell: 0.00
! Final energy in eV per atom: -2.99
! Raw formation energy in eV/atom: -0.315
&SYSTEM
  ibrav = 0, nat = 4, ntyp = 3
/
ATOMIC_SPECIES
Li 6.94 Li.upf
Sb 121.76 Sb.upf
In 114.82 In.upf
CELL_PARAMETERS angstrom
-0.244 0.554 -3.161
-0.414 -3.149 -0.520
-8.084 0.933 0.787
ATOMIC_POSITIONS crystal
Li 0.000 0.000 0.007
Li 0.000 0.000 0.493
Sb 0.500 0.500 0.250
In 0.500 0.500 0.750

***

4.
! Nb2Hg2PtSe6 PBE-GGA optimized geometry; values from VASP
! Space-group type: C2/m, No. 12
! Density of states at the Fermi level in states/eV/f.u.: 2.35
! Spin magnetization in μB per cell: 0.00
! Final energy in eV per atom: -4.82
! Raw formation energy in eV/atom: -0.481
&SYSTEM
  ibrav = 0, nat = 11, ntyp = 4
/
ATOMIC_SPECIES
Nb 92.91 Nb.upf
Hg 200.59 Hg.upf
Pt 195.08 Pt.upf
Se 78.96 Se.upf
CELL_PARAMETERS angstrom
-5.313 3.127 1.032
0.232 -5.521 -2.923
1.863 -3.074 9.335
ATOMIC_POSITIONS crystal
Nb 0.635 0.365 0.500
Hg 0.242 0.758 0.000
Pt 0.000 0.000 0.500
Se 0.583 0.929 0.341
Se 0.929 0.583 0.341
Se 0.207 0.207 0.309
Se 0.793 0.793 0.691
Nb 0.365 0.635 0.500
Hg 0.758 0.242 0.000
Se 0.417 0.071 0.659
Se 0.071 0.417 0.659

***

5.
! Ba2CaCdN PBE-GGA optimized geometry; values from VASP
! Space-group type: P4/mmm, No. 123
! Density of states at the Fermi level in states/eV/f.u.: 4.71
! Spin magnetization in μB per cell: 0.81
! Final energy in eV per atom: -3.37
! Raw formation energy in eV/atom: -0.351
&SYSTEM
  ibrav = 0, nat = 5, ntyp = 4
/
ATOMIC_SPECIES
N 14.01 N.upf
Ba 137.33 Ba.upf
Cd 112.41 Cd.upf
Ca 40.08 Ca.upf
CELL_PARAMETERS angstrom
5.791 0.000 0.000
0.000 5.791 0.000
0.000 0.000 4.832
ATOMIC_POSITIONS crystal
N 0.000 0.000 0.000
Ba 0.000 0.500 0.000
Cd 0.500 0.500 0.500
Ba 0.500 0.000 0.000
Ca 0.000 0.000 0.500

***

6.
! HoZnIr PBE-GGA optimized geometry; values from VASP
! Space-group type: Cmcm, No. 63
! Density of states at the Fermi level in states/eV/f.u.: 1.36
! Spin magnetization in μB per cell: 0.00
! Final energy in eV per atom: -5.60
&SYSTEM
  ibrav = 0, nat = 6, ntyp = 3
/
ATOMIC_SPECIES
Ho 164.93 Ho.upf
Zn 65.41 Zn.upf
Ir 192.22 Ir.upf
CELL_PARAMETERS angstrom
4.193 0.000 0.000
-2.096 4.920 0.000
0.000 0.000 5.522
ATOMIC_POSITIONS crystal
Ho 0.789 0.578 0.250
Zn 0.500 0.000 0.500
Ho 0.211 0.422 0.750
Ir 0.089 0.177 0.250
Zn 0.500 0.000 0.000
Ir 0.911 0.823 0.750

***

7.
! Ba4HgRhBr2 PBE-GGA optimized geometry; values from VASP
! Space-group type: P2/m, No. 10
! Density of states at the Fermi level in states/eV/f.u.: 6.24
! Spin magnetization in μB per cell: 0.00
! Final energy in eV per atom: -3.32
! Raw formation energy in eV/atom: -0.979
&SYSTEM
  ibrav = 0, nat = 8, ntyp = 4
/
ATOMIC_SPECIES
Br 79.90 Br.upf
Ba 137.33 Ba.upf
Rh 102.91 Rh.upf
Hg 200.59 Hg.upf
CELL_PARAMETERS angstrom
4.620 0.000 0.000
0.000 8.840 -0.493
0.000 2.824 7.584
ATOMIC_POSITIONS crystal
Br 0.500 0.000 0.500
Ba 0.000 0.716 0.779
Rh 0.500 0.500 0.000
Ba 0.000 0.284 0.221
Ba 0.500 0.725 0.234
Ba 0.500 0.275 0.766
Br 0.000 0.000 0.000
Hg 0.000 0.500 0.500

***

8.
! Pm3Nd2Rh4 PBE-GGA optimized geometry; values from VASP
! Space-group type: P2_1/c, No. 14
! Density of states at the Fermi level in states/eV/f.u.: 3.91
! Spin magnetization in μB per cell: 0.00
! Final energy in eV per atom: -6.58
! Energy above the most stable polymorph in this dataset in meV per atom: 0.0
&SYSTEM
  ibrav = 0, nat = 18, ntyp = 3
/
ATOMIC_SPECIES
Pm 145.00 Pm.upf
Rh 102.91 Rh.upf
Nd 144.24 Nd.upf
CELL_PARAMETERS angstrom
-5.671 4.869 -0.988
0.656 -4.412 -6.397
-4.949 -5.146 3.042
ATOMIC_POSITIONS crystal
Pm 0.747 0.241 0.831
Rh 0.854 0.084 0.534
Pm 0.500 0.500 0.000
Pm 0.247 0.241 0.669
Pm 0.253 0.759 0.169
Pm 0.753 0.759 0.331
Nd 0.422 0.807 0.680
Nd 0.078 0.193 0.180
Nd 0.922 0.807 0.820
Nd 0.578 0.193 0.320
Rh 0.646 0.916 0.034
Rh 0.371 0.487 0.368
Pm 0.000 0.500 0.500
Rh 0.871 0.487 0.132
Rh 0.354 0.084 0.966
Rh 0.146 0.916 0.466
Rh 0.129 0.513 0.868
Rh 0.629 0.513 0.632

***

9.
! SrAcPCl PBE-GGA optimized geometry; values from VASP
! Space-group type: R3m, No. 160
! Density of states at the Fermi level in states/eV/f.u.: 1.47
! Spin magnetization in μB per cell: 0.84
! Final energy in eV per atom: -4.81
! Energy above the most stable polymorph in this dataset in meV per atom: 0.0
! Raw formation energy in eV/atom: -1.547
&SYSTEM
  ibrav = 0, nat = 4, ntyp = 4
/
ATOMIC_SPECIES
Ac 227.00 Ac.upf
Cl 35.45 Cl.upf
P 30.97 P.upf
Sr 87.62 Sr.upf
CELL_PARAMETERS angstrom
4.306 0.000 0.000
-2.152 3.729 0.000
-2.152 -1.243 7.727
ATOMIC_POSITIONS crystal
Ac 0.493 0.145 0.653
Cl 0.962 0.379 0.356
P 0.308 0.552 0.875
Sr 0.115 0.955 0.085

***

10.
! TeAu2Cl2 PBE-GGA optimized geometry; values from VASP
! Space-group type: P4/mbm, No. 127
! Density of states at the Fermi level in states/eV/f.u.: 4.39
! Spin magnetization in μB per cell: 0.00
! Final energy in eV per atom: -2.42
! Energy above the most stable polymorph in this dataset in meV per atom: 0.0
! Raw formation energy in eV/atom: 0.261
&SYSTEM
  ibrav = 0, nat = 10, ntyp = 3
/
ATOMIC_SPECIES
Au 196.97 Au.upf
Cl 35.45 Cl.upf
Te 127.60 Te.upf
CELL_PARAMETERS angstrom
-0.754 5.484 5.982
2.087 -5.674 5.465
3.354 0.871 -0.376
ATOMIC_POSITIONS crystal
Au 0.700 0.200 0.000
Cl 0.871 0.371 0.500
Te 0.000 0.000 0.000
Au 0.800 0.700 0.000
Au 0.300 0.800 0.000
Cl 0.129 0.629 0.500
Te 0.500 0.500 0.000
Cl 0.629 0.871 0.500
Cl 0.371 0.129 0.500
Au 0.200 0.300 0.000

***

11.
! RuPbI PBE-GGA optimized geometry; values from VASP
! Space-group type: P1, No. 1
! Density of states at the Fermi level in states/eV/f.u.: 2.97
! Spin magnetization in μB per cell: 0.00
! Final energy in eV per atom: -4.57
! Energy above the most stable polymorph in this dataset in meV per atom: 67.4
! Raw formation energy in eV/atom: 0.272
&SYSTEM
  ibrav = 0, nat = 6, ntyp = 3
/
ATOMIC_SPECIES
I 126.90 I.upf
Pb 207.20 Pb.upf
Ru 101.07 Ru.upf
CELL_PARAMETERS angstrom
3.784 -0.005 -0.003
0.164 6.332 0.000
1.884 0.207 7.132
ATOMIC_POSITIONS crystal
I 0.178 0.427 0.946
Pb 0.600 0.067 0.250
I 0.922 0.591 0.466
Ru 0.345 0.278 0.582
Ru 0.927 0.018 0.563
Pb 0.303 0.926 0.858

***

12.
! Si2BPt8 PBE-GGA optimized geometry; values from VASP
! Space-group type: C2/m, No. 12
! Density of states at the Fermi level in states/eV/f.u.: 2.84
! Spin magnetization in μB per cell: 0.00
! Final energy in eV per atom: -6.42
! Raw formation energy in eV/atom: -0.435
&SYSTEM
  ibrav = 0, nat = 11, ntyp = 3
/
ATOMIC_SPECIES
Pt 195.08 Pt.upf
Si 28.09 Si.upf
B 10.81 B.upf
CELL_PARAMETERS angstrom
4.063 0.000 0.000
-2.032 6.082 -1.132
0.000 0.023 6.908
ATOMIC_POSITIONS crystal
Pt 0.822 0.644 0.438
Pt 0.178 0.356 0.562
Si 0.746 0.491 0.741
Pt 0.943 0.886 0.817
Pt 0.451 0.902 0.313
Pt 0.318 0.636 0.939
Si 0.254 0.509 0.259
B 0.500 0.000 0.000
Pt 0.682 0.364 0.061
Pt 0.549 0.098 0.687
Pt 0.057 0.114 0.183